Entry 1:
# BiAsSe3 PBE optimized geometry
# Calculated volume ... 161.51 Å³/cell
# Total moment ... 0.000 μB per atom
# E above lowest polymorph ... 1066.5 meV per atom
# E_form (uncorrected) ... 4.3 eV per formula unit
data_BiAsSe3
_cell_length_a 5.446
_cell_length_b 5.446
_cell_length_c 5.446
_cell_angle_alpha 90.00
_cell_angle_beta 90.00
_cell_angle_gamma 90.00
_space_group_name_H-M_alt 'P m -3 m'
_space_group_IT_number 221
_space_group_name_Hall '-P 4 2 3'
loop_
_atom_site_label
_atom_site_fract_x
_atom_site_fract_y
_atom_site_fract_z
Bi1 0.000 0.000 0.000
As1 0.500 0.500 0.500
Se1 0.000 0.000 0.500


Entry 2:
# BiAsSe3 PBE optimized geometry
# Calculated volume ... 286.97 Å³/cell
# Total moment ... 0.000 μB per atom
# E above lowest polymorph ... 0.0 meV per atom
# E_form (uncorrected) ... -1.1 eV per formula unit
data_BiAsSe3
_cell_length_a 6.817
_cell_length_b 3.981
_cell_length_c 10.718
_cell_angle_alpha 90.00
_cell_angle_beta 99.41
_cell_angle_gamma 90.00
_space_group_name_H-M_alt 'P 1 21/m 1'
_space_group_IT_number 11
loop_
_space_group_symop_operation_xyz
'x,y,z'
'-x,-y,-z'
'-x,y+1/2,-z'
'x,-y+1/2,z'
loop_
_atom_site_label
_atom_site_fract_x
_atom_site_fract_y
_atom_site_fract_z
Bi1 0.149 0.250 0.145
As1 0.270 0.250 0.494
Se1 0.058 0.750 0.347
Se2 0.252 0.750 0.972
Se3 0.457 0.750 0.641


Entry 3:
# BiAsSe2 PBE optimized geometry
# Calculated volume ... 330.61 Å³/cell
# Total moment ... 0.000 μB per atom
# E above lowest polymorph ... 0.0 meV per atom
# E_form (uncorrected) ... -0.2 eV per formula unit
data_BiAsSe2
_cell_length_a 3.7580
_cell_length_b 3.7580
_cell_length_c 27.0317
_cell_angle_alpha 90.00
_cell_angle_beta 90.00
_cell_angle_gamma 120.00
_space_group_name_H-M_alt 'R -3 m'
_space_group_IT_number 166
_space_group_name_Hall '-R 3 2"'
loop_
_atom_site_label
_atom_site_fract_x
_atom_site_fract_y
_atom_site_fract_z
Bi1 0.0000 0.0000 0.0000
As1 0.0000 0.0000 0.5000
Se1 0.0000 0.0000 0.1078